Record 1
Compound: FeHg2P
Source: Alexandria via LeMat-Bulk
Functional: PBE-GGA
Structure: relaxed

a = 2.878 Å, b = 2.878 Å, c = 9.150 Å
α = 90.00°, β = 90.00°, γ = 90.00°
Space group P4mm (No. 99)
One atom of each set of equivalent atoms:
Fe 0.000 0.000 0.000 [1 per cell]
Hg 0.000 0.000 0.570 [1 per cell]
Hg 0.500 0.500 0.227 [1 per cell]
P 0.500 0.500 0.883 [1 per cell]

Magnetization: 0.00 μB per atom
Formation enthalpy at 0 K: 0.1363 eV per atom

=====

Record 2
Compound: FeHgP
Source: Alexandria via LeMat-Bulk
Functional: PBE-GGA
Structure: relaxed

a = 5.976 Å, b = 5.976 Å, c = 5.976 Å
α = 90.00°, β = 90.00°, γ = 90.00°
Space group F-43m (No. 216)
One atom of each set of equivalent atoms:
Fe 0.000 0.000 0.000 [4 per cell]
Hg 0.250 0.250 0.250 [4 per cell]
P 0.250 0.250 0.750 [4 per cell]

Magnetization: 0.81 μB per atom
Relative energy among the computed polymorphs: 0.325 eV per atom
Formation enthalpy at 0 K: 0.4491 eV per atom

=====

Record 3
Compound: FeHg2P
Source: Alexandria via LeMat-Bulk
Functional: PBE-GGA
Structure: relaxed

a = 4.314 Å, b = 4.591 Å, c = 4.486 Å
α = 90.00°, β = 93.65°, γ = 90.00°
Space group P2/m (No. 10)
One atom of each set of equivalent atoms:
Fe 0.000 0.000 0.000 [1 per cell]
Hg 0.232 0.500 0.279 [2 per cell]
P 0.500 0.000 0.000 [1 per cell]

Magnetization: 0.52 μB per atom
Formation enthalpy at 0 K: 0.4007 eV per atom

=====

Record 4
Compound: FeHgP2
Source: Alexandria via LeMat-Bulk
Functional: PBE-GGA
Structure: relaxed

a = 2.8849 Å, b = 2.8849 Å, c = 29.8577 Å
α = 90.00°, β = 90.00°, γ = 120.00°
Space group R-3m (No. 166, hexagonal axes)
One atom of each set of equivalent atoms:
Fe 0.0000 0.0000 0.0000 [3 per cell]
Hg 0.0000 0.0000 0.5000 [3 per cell]
P 0.0000 0.0000 0.2791 [6 per cell]

Magnetization: 0.34 μB per atom
Formation enthalpy at 0 K: 0.0568 eV per atom

=====

Record 5
Compound: FeHgP
Source: Alexandria via LeMat-Bulk
Functional: PBE-GGA
Structure: relaxed

a = 2.862 Å, b = 2.862 Å, c = 11.767 Å
α = 90.00°, β = 90.00°, γ = 90.00°
Space group I4mm (No. 107)
One atom of each set of equivalent atoms:
Fe 0.000 0.000 0.000 [2 per cell]
Hg 0.000 0.000 0.321 [2 per cell]
P 0.000 0.000 0.590 [2 per cell]

Magnetization: 0.05 μB per atom
Relative energy among the computed polymorphs: 0.028 eV per atom
Formation enthalpy at 0 K: 0.1521 eV per atom

=====

Record 6
Compound: FeHgP2
Source: Alexandria via LeMat-Bulk
Functional: PBE-GGA
Structure: relaxed

a = 2.870 Å, b = 2.870 Å, c = 8.318 Å
α = 90.00°, β = 90.00°, γ = 90.00°
Space group P4mm (No. 99)
One atom of each set of equivalent atoms:
Fe 0.000 0.000 0.000 [1 per cell]
Hg 0.500 0.500 0.446 [1 per cell]
P 0.000 0.000 0.740 [1 per cell]
P 0.500 0.500 0.113 [1 per cell]

Magnetization: 0.00 μB per atom
Formation enthalpy at 0 K: 0.1593 eV per atom

=====

Record 7
Compound: FeHg2P
Source: Alexandria via LeMat-Bulk
Functional: PBE-GGA
Structure: relaxed

a = 16.262 Å, b = 2.711 Å, c = 3.641 Å
α = 90.00°, β = 102.81°, γ = 90.00°
Space group C2/m (No. 12)
One atom of each set of equivalent atoms:
Fe 0.000 0.000 0.000 [2 per cell]
Hg 0.173 0.500 0.172 [4 per cell]
P 0.000 0.500 0.500 [2 per cell]

Magnetization: 0.38 μB per atom
Formation enthalpy at 0 K: 0.1465 eV per atom

=====

Record 8
Compound: FeHg2P
Source: Alexandria via LeMat-Bulk
Functional: PBE-GGA
Structure: relaxed

a = 3.761 Å, b = 3.761 Å, c = 5.354 Å
α = 90.00°, β = 90.00°, γ = 90.00°
Space group P4/mmm (No. 123)
One atom of each set of equivalent atoms:
Fe 0.000 0.000 0.000 [1 per cell]
Hg 0.500 0.500 0.248 [2 per cell]
P 0.000 0.000 0.500 [1 per cell]

Magnetization: 0.75 μB per atom
Formation enthalpy at 0 K: 0.6122 eV per atom